1.
DFT (GGA-PBE) results for a geometry-optimized Tb2Y17 structure. Values from VASP.

Structure (Quantum ESPRESSO input):
```
&SYSTEM
  ibrav = 0, nat = 19, ntyp = 2
/
ATOMIC_SPECIES
Tb 158.93 Tb.upf
Y 88.91 Y.upf
ATOMIC_POSITIONS angstrom
Tb 0.000 0.000 3.180
Tb 0.000 0.000 14.590
Y -2.807 -1.620 5.924
Y 0.000 -3.373 5.379
Y -2.921 1.686 5.379
Y -1.680 -2.910 8.885
Y -3.361 0.000 8.885
Y -2.921 -1.686 12.391
Y 0.000 0.000 7.154
Y -2.807 1.620 11.847
Y 1.680 -2.910 8.885
Y 0.000 3.241 5.924
Y -1.680 2.910 8.885
Y 0.000 0.000 10.617
Y 2.921 1.686 5.379
Y 3.361 0.000 8.885
Y 1.680 2.910 8.885
Y 2.921 -1.686 12.391
Y 0.000 3.373 12.391
CELL_PARAMETERS angstrom
5.613 3.241 5.924
-5.613 3.241 5.924
0.000 -6.482 5.924
```

Summary:
- Volume: 646.56 Å³/cell
- Energy of formation: 5.59 eV/f.u.

2.
DFT (GGA-PBE) results for a geometry-optimized Tb7Y3 structure. Values from VASP.

Structure (Quantum ESPRESSO input):
```
&SYSTEM
  ibrav = 0, nat = 20, ntyp = 2
/
ATOMIC_SPECIES
Tb 158.93 Tb.upf
Y 88.91 Y.upf
ATOMIC_POSITIONS angstrom
Tb -2.277 5.041 0.000
Tb 0.000 2.229 5.384
Tb -3.574 8.419 5.384
Tb 1.931 1.115 2.280
Tb 0.000 6.356 4.738
Tb 2.277 5.041 0.000
Tb 0.000 8.986 0.000
Tb 5.504 0.548 3.104
Tb 3.227 4.493 3.104
Tb 5.504 3.178 1.633
Tb 3.574 8.419 5.384
Tb 9.078 1.115 2.280
Tb 5.504 7.305 2.280
Tb 7.782 4.493 3.104
Y 0.000 4.106 2.340
Y -1.949 7.481 2.340
Y 3.556 2.053 5.444
Y 1.949 7.481 2.340
Y 7.453 2.053 5.444
Y 5.504 5.428 5.444
CELL_PARAMETERS angstrom
11.009 0.000 0.000
-5.504 9.534 0.000
0.000 0.000 6.209
```

Summary:
- Volume: 651.64 Å³/cell
- Excess energy over the best structure of this formula in the dataset: 184 meV per atom
- Energy of formation: 2.00 eV/f.u.

3.
DFT (GGA-PBE) results for a geometry-optimized Tb7Y6 structure. Values from VASP.

Structure (Quantum ESPRESSO input):
```
&SYSTEM
  ibrav = 0, nat = 13, ntyp = 2
/
ATOMIC_SPECIES
Tb 158.93 Tb.upf
Y 88.91 Y.upf
ATOMIC_POSITIONS angstrom
Tb 0.000 0.000 0.000
Tb 0.000 -1.858 8.958
Tb -1.609 0.929 8.958
Tb -1.609 -0.929 26.100
Tb 1.609 0.929 8.958
Tb 1.609 -0.929 26.100
Tb 0.000 1.858 26.100
Y 0.000 0.000 5.838
Y 0.000 0.000 12.350
Y 0.000 0.000 15.915
Y 0.000 0.000 19.143
Y 0.000 0.000 22.707
Y 0.000 0.000 29.219
CELL_PARAMETERS angstrom
3.272 1.889 11.686
-3.272 1.889 11.686
0.000 -3.779 11.686
```

Summary:
- Volume: 433.50 Å³/cell
- Energy of formation: 3.02 eV/f.u.

4.
DFT (GGA-PBE) results for a geometry-optimized Tb2Y7 structure. Values from VASP.

Structure (Quantum ESPRESSO input):
```
&SYSTEM
  ibrav = 0, nat = 9, ntyp = 2
/
ATOMIC_SPECIES
Tb 158.93 Tb.upf
Y 88.91 Y.upf
ATOMIC_POSITIONS angstrom
Tb 0.000 5.606 0.000
Tb 4.855 2.803 0.000
Y 0.000 0.000 1.794
Y -1.753 3.036 1.794
Y -3.368 5.834 0.000
Y 1.487 2.575 0.000
Y 3.506 0.000 1.794
Y 3.102 5.373 1.794
Y 6.736 0.000 0.000
CELL_PARAMETERS angstrom
9.710 0.000 0.000
-4.855 8.409 0.000
0.000 0.000 3.588
```

Summary:
- Volume: 292.94 Å³/cell
- Excess energy over the best structure of this formula in the dataset: 7 meV per atom
- Energy of formation: 0.29 eV/f.u.

5.
DFT (GGA-PBE) results for a geometry-optimized Tb7Y2 structure. Values from VASP.

Structure (Quantum ESPRESSO input):
```
&SYSTEM
  ibrav = 0, nat = 9, ntyp = 2
/
ATOMIC_SPECIES
Tb 158.93 Tb.upf
Y 88.91 Y.upf
ATOMIC_POSITIONS angstrom
Tb 0.000 0.000 0.000
Tb -1.026 1.777 5.811
Tb -2.059 3.567 2.909
Tb 2.052 0.000 5.811
Tb 1.026 1.777 2.909
Tb 4.119 0.000 2.909
Tb 2.059 3.567 5.811
Y 0.000 3.563 0.000
Y 3.086 1.781 0.000
CELL_PARAMETERS angstrom
6.171 0.000 0.000
-3.086 5.344 0.000
0.000 0.000 8.720
```

Summary:
- Volume: 287.59 Å³/cell
- Excess energy over the best structure of this formula in the dataset: 0 meV per atom
- Energy of formation: 0.17 eV/f.u.

6.
DFT (GGA-PBE) results for a geometry-optimized Tb13Y3 structure. Values from VASP.

Structure (Quantum ESPRESSO input):
```
&SYSTEM
  ibrav = 0, nat = 16, ntyp = 2
/
ATOMIC_SPECIES
Tb 158.93 Tb.upf
Y 88.91 Y.upf
ATOMIC_POSITIONS angstrom
Tb 0.000 0.000 0.000
Tb 0.000 -2.839 8.392
Tb 0.000 0.000 6.295
Tb 0.000 2.839 8.392
Tb 1.821 -2.830 5.251
Tb 1.822 0.000 3.152
Tb 1.821 2.830 5.251
Tb 3.645 -2.833 8.403
Tb 3.645 0.000 6.294
Tb 3.645 2.833 8.403
Tb 5.470 -2.830 5.251
Tb 5.468 0.000 3.152
Tb 5.470 2.830 5.251
Y 1.820 0.000 9.444
Y 3.645 0.000 12.597
Y 5.470 0.000 9.444
CELL_PARAMETERS angstrom
7.290 0.000 0.000
0.000 5.663 6.299
0.000 -5.663 6.299
```

Summary:
- Volume: 520.10 Å³/cell
- Excess energy over the best structure of this formula in the dataset: 0 meV per atom
- Energy of formation: 0.18 eV/f.u.